Record 1
A relaxed structure of CoAs3Br, computed with PBE.

The relative energy among the computed polymorphs is 0.0 meV per atom. The density of states at the Fermi level comes out at 1.597 states/eV/atom. For the uncorrected formation energy, the calculation gives 442.4 meV/atom. Its crystal system is cubic. The value obtained for the magnetization is 0.00 Bohr magnetons per cell.

It has space group Pm-3m (No. 221), with a = 4.6684 Å, b = 4.6684 Å, c = 4.6684 Å, α = 90.00°, β = 90.00° and γ = 90.00°. The inequivalent atoms are Co at (0.0000, 0.0000, 0.0000), As at (0.0000, 0.0000, 0.5000) and Br at (0.5000, 0.5000, 0.5000).

***

Record 2
A relaxed structure of DyGePt2, computed with PBE.

The density of states at the Fermi level comes out at 0.521 states/eV/atom. As for the energy of formation from the pure elements: -0.8730 eV/atom. Its crystal system is trigonal. The value obtained for the magnetization is 0.00 Bohr magnetons per cell.

It has space group R-3m (No. 166, hexagonal axes), with a = 4.3766 Å, b = 4.3766 Å, c = 14.0759 Å, α = 90.00°, β = 90.00° and γ = 120.00°. The inequivalent atoms are Dy at (0.0000, 0.0000, 0.0000), Ge at (0.0000, 0.0000, 0.5000) and Pt at (0.0000, 0.0000, 0.2142).

***

Record 3
A relaxed structure of Na2MgGe2, computed with PBE.

The relative energy among the computed polymorphs is 94.4 meV per atom. The density of states at the Fermi level comes out at 0.267 states/eV/atom. As for the energy of formation from the pure elements: 0.0180 eV/atom. Its crystal system is orthorhombic. The value obtained for the magnetization is 0.00 Bohr magnetons per cell.

It has space group Cmcm (No. 63), with a = 6.5610 Å, b = 14.6056 Å, c = 5.6735 Å, α = 90.00°, β = 90.00° and γ = 90.00°. The inequivalent atoms are Na at (0.0000, 0.0702, 0.2500), Na at (0.0000, 0.2824, 0.7500), Mg at (0.0000, 0.5000, 0.0000) and Ge at (0.1965, 0.3701, 0.2500).

***

Record 4
A relaxed structure of BaCaCd2, computed with PBE.

The density of states at the Fermi level comes out at 0.749 states/eV/atom. As for the energy of formation from the pure elements: -0.2255 eV/atom. Its crystal system is orthorhombic. The value obtained for the magnetization is 0.00 Bohr magnetons per cell.

It has space group Imm2 (No. 44), with a = 3.8888 Å, b = 5.8291 Å, c = 11.8365 Å, α = 90.00°, β = 90.00° and γ = 90.00°. The inequivalent atoms are Ba at (0.0000, 0.0000, 0.0000), Ca at (0.0000, 0.5000, 0.8007), Cd at (0.0000, 0.0000, 0.5487) and Cd at (0.0000, 0.5000, 0.2425).